Entry 1:
Below is a geometry-optimized Pr8Tl2Ga structure, with properties calculated at the GGA-PBE level.

Space-group type   C2/m (12)
Energy of formation   -219 meV per atom
N(E_F)   12.3 states/eV/cell

Cell lengths 10.174, 10.174, 7.030 Å; angles 106.06, 106.06, 30.66 degrees
Fractional coordinates of all 11 atoms:
Pr: 0.009 0.009 0.272
Pr: 0.208 0.208 0.816
Pr: 0.345 0.345 0.512
Pr: 0.409 0.409 0.035
Pr: 0.591 0.591 0.965
Pr: 0.655 0.655 0.488
Pr: 0.792 0.792 0.184
Pr: 0.991 0.991 0.728
Tl: 0.176 0.176 0.245
Tl: 0.824 0.824 0.755
Ga: 0.500 0.500 0.500



Entry 2:
Below is a geometry-optimized Pr10Tl3Ga3 structure, with properties calculated at the GGA-PBE level.

Space-group type   P-62m (189)
Energy of formation   -332 meV per atom
N(E_F)   21.6 states/eV/cell

Cell lengths 9.134, 9.134, 6.998 Å; angles 90.00, 90.00, 120.00 degrees
Fractional coordinates of all 16 atoms:
Pr: 0.000 0.237 0.000
Pr: 0.000 0.762 0.500
Pr: 0.237 0.000 0.000
Pr: 0.238 0.238 0.500
Pr: 0.333 0.667 0.262
Pr: 0.333 0.667 0.738
Pr: 0.667 0.333 0.262
Pr: 0.667 0.333 0.738
Pr: 0.762 0.000 0.500
Pr: 0.763 0.763 0.000
Tl: 0.000 0.594 0.000
Tl: 0.406 0.406 0.000
Tl: 0.594 0.000 0.000
Ga: 0.000 0.403 0.500
Ga: 0.403 0.000 0.500
Ga: 0.597 0.597 0.500



Entry 3:
Below is a geometry-optimized Pr6TlGa structure, with properties calculated at the GGA-PBE level.

Space-group type   C2/m (12)
Energy of formation   8 meV per atom
N(E_F)   12.0 states/eV/cell

Cell lengths 7.130, 7.130, 6.991 Å; angles 103.78, 103.78, 116.82 degrees
Fractional coordinates of all 8 atoms:
Pr: 0.010 0.414 0.249
Pr: 0.236 0.236 0.758
Pr: 0.414 0.010 0.249
Pr: 0.586 0.990 0.751
Pr: 0.764 0.764 0.242
Pr: 0.990 0.586 0.751
Tl: 0.500 0.500 0.500
Ga: 0.000 0.000 0.000



Entry 4:
Below is a geometry-optimized PrTlGa structure, with properties calculated at the GGA-PBE level.

Space-group type   Cmcm (63)
Energy of formation   -461 meV per atom
N(E_F)   3.7 states/eV/cell

Cell lengths 8.795, 8.795, 4.234 Å; angles 90.00, 90.00, 150.22 degrees
Fractional coordinates of all 6 atoms:
Pr: 0.093 0.907 0.750
Pr: 0.907 0.093 0.250
Tl: 0.288 0.712 0.750
Tl: 0.712 0.288 0.250
Ga: 0.457 0.543 0.750
Ga: 0.543 0.457 0.250



Entry 5:
Below is a geometry-optimized PrTlGa structure, with properties calculated at the GGA-PBE level.

Space-group type   I4mm (107)
Energy of formation   -266 meV per atom
N(E_F)   2.6 states/eV/cell

Cell lengths 6.584, 6.584, 6.584 Å; angles 148.25, 148.25, 45.51 degrees
Fractional coordinates of all 3 atoms:
Pr: 0.000 0.000 0.000
Tl: 0.305 0.305 0.000
Ga: 0.663 0.663 0.000



Entry 6:
Below is a geometry-optimized Pr6Tl2Ga structure, with properties calculated at the GGA-PBE level.

Space-group type   Amm2 (38)
Energy of formation   -307 meV per atom
N(E_F)   11.2 states/eV/cell

Cell lengths 4.545, 8.534, 8.534 Å; angles 119.97, 90.00, 90.00 degrees
Fractional coordinates of all 9 atoms:
Pr: 0.000 0.000 0.000
Pr: 0.000 0.490 0.745
Pr: 0.000 0.745 0.490
Pr: 0.500 0.147 0.745
Pr: 0.500 0.343 0.343
Pr: 0.500 0.745 0.147
Tl: 0.000 0.078 0.412
Tl: 0.000 0.412 0.078
Ga: 0.500 0.745 0.745



Entry 7:
Below is a geometry-optimized Pr6TlGa structure, with properties calculated at the GGA-PBE level.

Space-group type   P4/mmm (123)
Energy of formation   -221 meV per atom
N(E_F)   12.5 states/eV/cell

Cell lengths 4.967, 4.967, 9.926 Å; angles 90.00, 90.00, 90.00 degrees
Fractional coordinates of all 8 atoms:
Pr: 0.000 0.000 0.000
Pr: 0.000 0.000 0.500
Pr: 0.000 0.500 0.242
Pr: 0.000 0.500 0.758
Pr: 0.500 0.000 0.242
Pr: 0.500 0.000 0.758
Tl: 0.500 0.500 0.500
Ga: 0.500 0.500 0.000



Entry 8:
Below is a geometry-optimized Pr12Tl2Ga5 structure, with properties calculated at the GGA-PBE level.

Space-group type   C2/m (12)
Energy of formation   -205 meV per atom
N(E_F)   20.3 states/eV/cell

Cell lengths 9.774, 9.774, 9.375 Å; angles 100.07, 100.07, 44.33 degrees
Fractional coordinates of all 19 atoms:
Pr: 0.016 0.016 0.241
Pr: 0.060 0.582 0.400
Pr: 0.097 0.625 0.001
Pr: 0.375 0.903 0.999
Pr: 0.400 0.400 0.711
Pr: 0.418 0.940 0.600
Pr: 0.582 0.060 0.400
Pr: 0.600 0.600 0.289
Pr: 0.625 0.097 0.001
Pr: 0.903 0.375 0.999
Pr: 0.940 0.418 0.600
Pr: 0.984 0.984 0.759
Tl: 0.286 0.714 0.500
Tl: 0.714 0.286 0.500
Ga: 0.185 0.185 0.293
Ga: 0.247 0.247 0.844
Ga: 0.500 0.500 0.000
Ga: 0.753 0.753 0.156
Ga: 0.815 0.815 0.707



Entry 9:
Below is a geometry-optimized PrTlGa structure, with properties calculated at the GGA-PBE level.

Space-group type   P3m1 (156)
Energy of formation   -417 meV per atom
N(E_F)   1.3 states/eV/cell

Cell lengths 4.658, 4.658, 4.253 Å; angles 90.00, 90.00, 120.00 degrees
Fractional coordinates of all 3 atoms:
Pr: 0.000 0.000 0.000
Tl: 0.667 0.333 0.562
Ga: 0.333 0.667 0.381



Entry 10:
Below is a geometry-optimized PrTlGa structure, with properties calculated at the GGA-PBE level.

Space-group type   P4/nmm (129)
Energy of formation   -355 meV per atom
N(E_F)   3.4 states/eV/cell

Cell lengths 4.733, 4.733, 7.279 Å; angles 90.00, 90.00, 90.00 degrees
Fractional coordinates of all 6 atoms:
Pr: 0.250 0.250 0.210
Pr: 0.750 0.750 0.790
Tl: 0.250 0.250 0.767
Tl: 0.750 0.750 0.233
Ga: 0.250 0.750 0.500
Ga: 0.750 0.250 0.500



Entry 11:
Below is a geometry-optimized Pr12Tl5Ga2 structure, with properties calculated at the GGA-PBE level.

Space-group type   C2/m (12)
Energy of formation   -222 meV per atom
N(E_F)   24.1 states/eV/cell

Cell lengths 9.737, 9.737, 9.432 Å; angles 92.98, 92.98, 43.63 degrees
Fractional coordinates of all 19 atoms:
Pr: 0.012 0.012 0.301
Pr: 0.086 0.593 0.046
Pr: 0.101 0.591 0.476
Pr: 0.407 0.914 0.954
Pr: 0.409 0.899 0.524
Pr: 0.469 0.469 0.815
Pr: 0.531 0.531 0.185
Pr: 0.591 0.101 0.476
Pr: 0.593 0.086 0.046
Pr: 0.899 0.409 0.524
Pr: 0.914 0.407 0.954
Pr: 0.988 0.988 0.699
Tl: 0.211 0.211 0.251
Tl: 0.277 0.277 0.751
Tl: 0.500 0.500 0.500
Tl: 0.723 0.723 0.249
Tl: 0.789 0.789 0.749
Ga: 0.169 0.831 0.000
Ga: 0.831 0.169 0.000



Entry 12:
Below is a geometry-optimized Pr2TlGa2 structure, with properties calculated at the GGA-PBE level.

Space-group type   Cmmm (65)
Energy of formation   -542 meV per atom
N(E_F)   3.4 states/eV/cell

Cell lengths 8.114, 8.114, 3.817 Å; angles 90.00, 90.00, 148.82 degrees
Fractional coordinates of all 5 atoms:
Pr: 0.127 0.873 0.000
Pr: 0.873 0.127 0.000
Tl: 0.500 0.500 0.500
Ga: 0.295 0.705 0.500
Ga: 0.705 0.295 0.500